Record 1
## LaCu4Ag (PBEsol)

Data for LaCu4Ag after structural relaxation.

abc: 5.0744 5.0744 5.0744
angles: 60.00 60.00 60.00
With the nearest neighbours (Å) after each atom.
Sites, in units of the cell vectors:
1 Cu 0.3730 0.3730 0.3730  6 Cu 2.50-2.58
2 Ag 0.0000 0.0000 0.0000  12 Cu 2.97, 4 La 3.11
3 Cu 0.8809 0.3730 0.3730  6 Cu 2.50-2.58
4 Cu 0.3730 0.3730 0.8809  6 Cu 2.50-2.58
5 Cu 0.3730 0.8809 0.3730  6 Cu 2.50-2.58
6 La 0.7500 0.7500 0.7500  12 Cu 2.98, 4 Ag 3.11

Results
formation energy = -0.16 eV/atom
DOS(E_F) = 2.9 states/eV/f.u.
volume = 15.399 A^3/atom


Record 2
## CdP4Br (PBEsol)

Data for CdP4Br after structural relaxation.

abc: 5.7289 5.7289 5.7289
angles: 60.00 60.00 60.00
With the nearest neighbours (Å) after each atom.
Sites, in units of the cell vectors:
1 P 0.4035 0.4035 0.4035  3 P 2.21
2 Br 0.7500 0.7500 0.7500  12 P 3.31, 4 Cd 3.51
3 Cd 0.0000 0.0000 0.0000  12 P 3.45, 4 Br 3.51
4 P 0.4035 0.4035 0.7895  3 P 2.21
5 P 0.7895 0.4035 0.4035  3 P 2.21
6 P 0.4035 0.7895 0.4035  3 P 2.21

Results
raw formation energy = 219 meV per atom
DOS(E_F) = 2.7 states/eV/f.u.
volume = 22.159 A^3/atom


Record 3
## Ta2SiTe (PBEsol)

Data for Ta2SiTe after structural relaxation.

abc: 3.4521 4.1987 4.9080
angles: 90.00 90.00 90.00
With the nearest neighbours (Å) after each atom.
Sites, in units of the cell vectors:
1 Ta 0.5000 0.0000 0.5000  4 Si 2.72, 4 Ta 3.00
2 Si 0.0000 0.5000 0.5000  4 Ta 2.72, 4 Te 3.00
3 Ta 0.0000 0.0000 0.0000  4 Te 2.72, 4 Ta 3.00
4 Te 0.5000 0.5000 0.0000  4 Ta 2.72, 4 Si 3.00

Results
raw formation energy = 253 meV per atom
DOS(E_F) = 2.6 states/eV/f.u.
volume = 17.784 A^3/atom
excess energy over the best structure of this formula in the dataset = 1.309 eV per formula unit


Record 4
## HfCu3Pt (PBEsol)

Data for HfCu3Pt after structural relaxation.

abc: 4.5232 4.5232 4.5232
angles: 90.00 90.00 90.00
With the nearest neighbours (Å) after each atom.
Sites, in units of the cell vectors:
1 Hf 0.5000 0.5000 0.5000  12 Cu 3.20
2 Cu 0.0000 0.0000 0.5000  2 Pt 2.26
3 Cu 0.5000 0.0000 0.0000  2 Pt 2.26
4 Pt 0.0000 0.0000 0.0000  6 Cu 2.26
5 Cu 0.0000 0.5000 0.0000  2 Pt 2.26

Results
formation energy = 0.88 eV/atom
DOS(E_F) = 5.3 states/eV/f.u.
volume = 18.509 A^3/atom
excess energy over the best structure of this formula in the dataset = 0.000 eV per formula unit


Record 5
## TbPd3 (PBEsol)

Data for TbPd3 after structural relaxation.

abc: 4.0523 4.0523 4.0523
angles: 90.00 90.00 90.00
With the nearest neighbours (Å) after each atom.
Sites, in units of the cell vectors:
1 Pd 0.0000 0.5000 0.5000  8 Pd 2.87, 4 Tb 2.87
2 Pd 0.5000 0.0000 0.5000  8 Pd 2.87, 4 Tb 2.87
3 Pd 0.5000 0.5000 0.0000  8 Pd 2.87, 4 Tb 2.87
4 Tb 0.0000 0.0000 0.0000  12 Pd 2.87

Results
formation energy = -0.88 eV/atom
DOS(E_F) = 2.0 states/eV/f.u.
volume = 16.636 A^3/atom


Record 6
## Zn2CrCu (PBEsol)

Data for Zn2CrCu after structural relaxation.

abc: 2.5169 4.0565 5.0085
angles: 90.00 100.76 90.00
With the nearest neighbours (Å) after each atom.
Sites, in units of the cell vectors:
1 Cu 0.2156 0.5000 0.7647  5 Zn 2.47-2.72, 2 Cu 2.52, 2 Cr 2.65
2 Zn 0.9012 0.5000 0.2680  1 Cu 2.47, 4 Zn 2.47-2.52, 4 Cr 2.58-2.64
3 Zn 0.8757 0.0000 0.9836  4 Zn 2.47-2.52, 2 Cr 2.50-2.71, 4 Cu 2.53-2.72
4 Cr 0.5075 0.0000 0.4838  6 Zn 2.50-2.71, 2 Cr 2.52, 2 Cu 2.65

Results
formation energy = 0.19 eV/atom
DOS(E_F) = 2.4 states/eV/f.u.
volume = 12.560 A^3/atom


Record 7
## La2ScAs2 (PBEsol)

Data for La2ScAs2 after structural relaxation.

abc: 4.1769 7.7210 7.7210
angles: 90.00 90.00 90.00
With the nearest neighbours (Å) after each atom.
Sites, in units of the cell vectors:
1 Sc 0.0000 0.5000 0.5000  4 As 2.90
2 As 0.0000 0.8410 0.6590  2 Sc 2.90, 6 La 2.95-3.17
3 La 0.5000 0.6502 0.8498  6 As 2.95-3.17, 1 La 3.28
4 As 0.0000 0.6590 0.1590  2 Sc 2.90, 6 La 2.95-3.17
5 Sc 0.0000 0.0000 0.0000  4 As 2.90
6 As 0.0000 0.3410 0.8410  2 Sc 2.90, 6 La 2.95-3.17
7 La 0.5000 0.3498 0.1502  6 As 2.95-3.17, 1 La 3.28
8 La 0.5000 0.1502 0.6502  6 As 2.95-3.17, 1 La 3.28
9 As 0.0000 0.1590 0.3410  2 Sc 2.90, 6 La 2.95-3.17
10 La 0.5000 0.8498 0.3498  6 As 2.95-3.17, 1 La 3.28

Results
formation energy = -1.21 eV/atom
DOS(E_F) = 4.6 states/eV/f.u.
volume = 24.900 A^3/atom


Record 8
## Gd2CuO4 (PBEsol)

Data for Gd2CuO4 after structural relaxation.

abc: 5.4514 5.4566 6.5184
angles: 114.62 90.00 90.00
With the nearest neighbours (Å) after each atom.
Sites, in units of the cell vectors:
1 O 0.7244 0.2241 0.9993  2 Cu 1.94
2 O 0.2500 0.9944 0.5005  4 Gd 2.24-2.28
3 Cu 0.5000 0.5000 0.0000  4 O 1.94
4 O 0.2756 0.7759 0.0007  2 Cu 1.94
5 Gd 0.9996 0.3487 0.6982  6 O 2.24-2.49
6 Cu 0.0000 0.0000 0.0000  4 O 1.94
7 O 0.7756 0.7241 0.9993  2 Cu 1.94
8 O 0.2500 0.4944 0.5005  4 Gd 2.24-2.28
9 Gd 0.4996 0.1513 0.3018  6 O 2.24-2.49
10 O 0.2244 0.2759 0.0007  2 Cu 1.94
11 O 0.7500 0.0056 0.4995  4 Gd 2.24-2.28
12 O 0.7500 0.5056 0.4995  4 Gd 2.24-2.28
13 Gd 0.0004 0.6513 0.3018  6 O 2.24-2.49
14 Gd 0.5004 0.8487 0.6982  6 O 2.24-2.49

Results
raw formation energy = -2681 meV per atom
DOS(E_F) = 0.6 states/eV/f.u.
volume = 12.591 A^3/atom


Record 9
## CoSiO3 (PBEsol)

Data for CoSiO3 after structural relaxation.

abc: 5.1243 8.8737 18.3634
angles: 90.00 90.00 90.00
With the nearest neighbours (Å) after each atom.
Sites, in units of the cell vectors:
1 O 0.1844 0.0156 0.4298  1 Si 1.61
2 Co 0.6530 0.9867 0.8792  4 O 1.97-2.05
3 O 0.1672 0.7670 0.6970  2 Si 1.63-1.64
4 O 0.8328 0.2330 0.3030  2 Si 1.63-1.64
5 O 0.2940 0.1728 0.5569  1 Si 1.65
6 O 0.6844 0.9844 0.0702  1 Si 1.61
7 Si 0.0632 0.3405 0.2708  4 O 1.62-1.64
8 Co 0.6090 0.1485 0.6235  6 O 2.00-2.21
9 Si 0.9368 0.1595 0.7708  4 O 1.62-1.64
10 O 0.5544 0.6655 0.3184  1 Si 1.64
11 O 0.3156 0.0156 0.9298  1 Si 1.61
12 O 0.5635 0.9922 0.3064  1 Si 1.62
13 Si 0.7052 0.8334 0.5327  4 O 1.61-1.67
14 O 0.8966 0.1907 0.9418  2 Si 1.66-1.67
15 O 0.3966 0.3093 0.9418  2 Si 1.66-1.67
16 Co 0.3910 0.3515 0.1235  6 O 2.00-2.21
17 Si 0.7948 0.3334 0.4673  4 O 1.61-1.67
18 O 0.3156 0.5156 0.5702  1 Si 1.61
19 O 0.4365 0.5078 0.8064  1 Si 1.62
20 O 0.4365 0.0078 0.6936  1 Si 1.62
21 O 0.1672 0.2670 0.8030  2 Si 1.63-1.64
22 Si 0.7948 0.8334 0.0327  4 O 1.61-1.67
23 O 0.9456 0.1655 0.6816  1 Si 1.64
24 O 0.2940 0.6728 0.9431  1 Si 1.65
25 Si 0.2052 0.1666 0.9673  4 O 1.61-1.67
26 O 0.0635 0.5078 0.3064  1 Si 1.62
27 Si 0.0632 0.8405 0.2292  4 O 1.62-1.64
28 Co 0.8910 0.6485 0.3765  6 O 2.00-2.21
29 O 0.3328 0.2670 0.3030  2 Si 1.63-1.64
30 Co 0.3910 0.8515 0.3765  6 O 2.00-2.21
31 O 0.9365 0.9922 0.8064  1 Si 1.62
32 O 0.4456 0.3345 0.6816  1 Si 1.64
33 O 0.6672 0.2330 0.8030  2 Si 1.63-1.64
34 Si 0.7052 0.3334 0.9673  4 O 1.61-1.67
35 Si 0.4368 0.8405 0.7292  4 O 1.62-1.64
36 O 0.9456 0.6655 0.8184  1 Si 1.64
37 Si 0.9368 0.6595 0.7292  4 O 1.62-1.64
38 Si 0.2948 0.1666 0.4673  4 O 1.61-1.67
39 O 0.0635 0.0078 0.1936  1 Si 1.62
40 Co 0.8470 0.4867 0.1208  4 O 1.97-2.05
41 O 0.0544 0.8345 0.3184  1 Si 1.64
42 O 0.9365 0.4922 0.6936  1 Si 1.62
43 Co 0.6090 0.6485 0.8765  6 O 2.00-2.21
44 O 0.7940 0.8272 0.9431  1 Si 1.65
45 O 0.5544 0.1655 0.1816  1 Si 1.64
46 Si 0.2052 0.6666 0.5327  4 O 1.61-1.67
47 O 0.8328 0.7330 0.1970  2 Si 1.63-1.64
48 O 0.3328 0.7670 0.1970  2 Si 1.63-1.64
49 O 0.5635 0.4922 0.1936  1 Si 1.62
50 O 0.7940 0.3272 0.5569  1 Si 1.65
51 O 0.1034 0.3093 0.4418  2 Si 1.66-1.67
52 O 0.7060 0.8272 0.4431  1 Si 1.65
53 O 0.1034 0.8093 0.0582  2 Si 1.66-1.67
54 O 0.2060 0.6728 0.4431  1 Si 1.65
55 O 0.2060 0.1728 0.0569  1 Si 1.65
56 Si 0.5632 0.1595 0.2708  4 O 1.62-1.64
57 O 0.3966 0.8093 0.5582  2 Si 1.66-1.67
58 Co 0.1530 0.5133 0.8792  4 O 1.97-2.05
59 Si 0.4368 0.3405 0.7708  4 O 1.62-1.64
60 Co 0.1090 0.3515 0.6235  6 O 2.00-2.21
61 O 0.6672 0.7330 0.6970  2 Si 1.63-1.64
62 O 0.0544 0.3345 0.1816  1 Si 1.64
63 O 0.1844 0.5156 0.0702  1 Si 1.61
64 Co 0.1090 0.8515 0.8765  6 O 2.00-2.21
65 Si 0.5632 0.6595 0.2292  4 O 1.62-1.64
66 Co 0.3470 0.5133 0.3792  4 O 1.97-2.05
67 O 0.6034 0.6907 0.0582  2 Si 1.66-1.67
68 Co 0.1530 0.0133 0.6208  4 O 1.97-2.05
69 Co 0.6530 0.4867 0.6208  4 O 1.97-2.05
70 O 0.8156 0.4844 0.9298  1 Si 1.61
71 O 0.8156 0.9844 0.5702  1 Si 1.61
72 O 0.8966 0.6907 0.5582  2 Si 1.66-1.67
73 O 0.6034 0.1907 0.4418  2 Si 1.66-1.67
74 Co 0.8470 0.9867 0.3792  4 O 1.97-2.05
75 O 0.7060 0.3272 0.0569  1 Si 1.65
76 Co 0.8910 0.1485 0.1235  6 O 2.00-2.21
77 O 0.4456 0.8345 0.8184  1 Si 1.64
78 O 0.6844 0.4844 0.4298  1 Si 1.61
79 Co 0.3470 0.0133 0.1208  4 O 1.97-2.05
80 Si 0.2948 0.6666 0.0327  4 O 1.61-1.67

Results
raw formation energy = -1870 meV per atom
DOS(E_F) = 2.9 states/eV/f.u.
volume = 10.438 A^3/atom


Record 10
## TaFeSi (PBEsol)

Data for TaFeSi after structural relaxation.

abc: 3.7073 6.1212 6.8926
angles: 90.00 90.00 90.00
With the nearest neighbours (Å) after each atom.
Sites, in units of the cell vectors:
1 Ta 0.2500 0.9866 0.3118  5 Si 2.63-2.64, 6 Fe 2.70-2.90
2 Fe 0.7500 0.6486 0.4341  4 Si 2.27-2.35
3 Ta 0.2500 0.4866 0.1882  5 Si 2.63-2.64, 6 Fe 2.70-2.90
4 Fe 0.7500 0.1486 0.0659  4 Si 2.27-2.35
5 Ta 0.7500 0.5134 0.8118  5 Si 2.63-2.64, 6 Fe 2.70-2.90
6 Si 0.2500 0.7206 0.6133  4 Fe 2.27-2.35
7 Si 0.2500 0.2206 0.8867  4 Fe 2.27-2.35
8 Fe 0.2500 0.3514 0.5659  4 Si 2.27-2.35
9 Si 0.7500 0.2794 0.3867  4 Fe 2.27-2.35
10 Fe 0.2500 0.8514 0.9341  4 Si 2.27-2.35
11 Ta 0.7500 0.0134 0.6882  5 Si 2.63-2.64, 6 Fe 2.70-2.90
12 Si 0.7500 0.7794 0.1133  4 Fe 2.27-2.35

Results
raw formation energy = -689 meV per atom
DOS(E_F) = 2.3 states/eV/f.u.
volume = 13.035 A^3/atom


Record 11
## NaPt3 (PBEsol)

Data for NaPt3 after structural relaxation.

abc: 2.6761 5.2322 5.2322
angles: 117.16 99.82 99.82
With the nearest neighbours (Å) after each atom.
Sites, in units of the cell vectors:
1 Na 0.0000 0.0000 0.0000  2 Na 2.68, 6 Pt 2.73
2 Pt 0.5000 0.0000 0.5000  6 Pt 2.68-2.73, 2 Na 2.73
3 Pt 0.0000 0.5000 0.5000  6 Pt 2.68-2.73, 2 Na 2.73
4 Pt 0.5000 0.5000 0.0000  6 Pt 2.68-2.73, 2 Na 2.73

Results
formation energy = 0.00 eV/atom
DOS(E_F) = 3.0 states/eV/f.u.
volume = 15.400 A^3/atom